1.
A relaxed BaBe2BPt crystal. Source: Alexandria via LeMat-Bulk, functional PBE.

a = 5.8737 Å, b = 5.8737 Å, c = 5.5946 Å
α = 90.00°, β = 90.00°, γ = 90.00°
Fractional positions:
Ba 0.0000 0.0000 0.0000
Be 0.0000 0.5000 0.0000
Be 0.5000 0.0000 0.0000
B 0.5000 0.5000 0.5000
Pt 0.0000 0.0000 0.5000

Spin magnetization: 0.0 μB per cell

2.
A relaxed K2SnHg crystal. Source: Alexandria via LeMat-Bulk, functional PBE.

a = 6.3725 Å, b = 6.3725 Å, c = 3.5823 Å
α = 90.00°, β = 90.00°, γ = 90.00°
Fractional positions:
K 0.0000 0.5000 0.0000
K 0.5000 0.0000 0.0000
Sn 0.0000 0.0000 0.5000
Hg 0.5000 0.5000 0.5000

Spin magnetization: 0.1 μB per cell
Relative energy among the computed polymorphs: 0.165 eV per atom

3.
A relaxed Li2SiSn crystal. Source: Alexandria via LeMat-Bulk, functional PBE.

a = 4.5963 Å, b = 4.5963 Å, c = 4.5963 Å
α = 60.00°, β = 60.00°, γ = 60.00°
Fractional positions:
Li 0.2500 0.2500 0.2500
Li 0.7500 0.7500 0.7500
Si 0.0000 0.0000 0.0000
Sn 0.5000 0.5000 0.5000

Uncorrected formation energy: -0.114 eV per atom
Spin magnetization: 0.0 μB per cell
Relative energy among the computed polymorphs: 0.066 eV per atom

no.,DOS at the Fermi energy (states/eV/atom),total DFT energy (no corrections) (Ry per atom)
1,0.72,-0.1237
2,0.70,-0.1269
3,0.06,-0.2519